The following is a DFT calculation (PBE) of BiPt after structural relaxation.

a = 7.677 Å, b = 7.677 Å, c = 7.677 Å
α = 90.00°, β = 90.00°, γ = 90.00°
Element x y z (fractional)
Bi (0.250, 0.000, 0.500)
Bi (0.750, 0.000, 0.500)
Bi (0.000, 0.500, 0.250)
Bi (0.000, 0.500, 0.750)
Bi (0.500, 0.250, 0.000)
Bi (0.500, 0.750, 0.000)
Pt (0.250, 0.500, 0.000)
Pt (0.750, 0.500, 0.000)
Pt (0.500, 0.000, 0.250)
Pt (0.500, 0.000, 0.750)
Pt (0.000, 0.250, 0.500)
Pt (0.000, 0.750, 0.500)

Results
magnetic moment	0.00	μB/f.u.
energy relative to the elements	0.4	eV/f.u.